Record 1
## Mn2In2Pt (PBE-GGA)

Data for a relaxed structure of Mn2In2Pt.

Computed properties:
offset from the most stable computed form: 34.3 meV/atom
SG: P4/mbm, No. 127
total moment: 15.19 μB per cell
Fermi-level density of states: 2.702 states/eV/f.u.
volume: 18.47 Å³/atom

Cell: 7.1268 7.1268 3.6370 Å, 90.00 90.00 90.00°
With the nearest neighbours (Å) after each atom.
Atoms (fractional coordinates):
Mn 0.1527 0.3473 0.0000  6 In 2.72-2.81
Mn 0.3473 0.8473 0.0000  6 In 2.72-2.81
Mn 0.6527 0.1527 0.0000  6 In 2.72-2.81
Mn 0.8473 0.6527 0.0000  6 In 2.72-2.81
In 0.1469 0.6469 0.5000  6 Mn 2.72-2.81, 2 Pt 2.73, 1 In 2.96
In 0.3531 0.1469 0.5000  6 Mn 2.72-2.81, 2 Pt 2.73, 1 In 2.96
In 0.6469 0.8531 0.5000  6 Mn 2.72-2.81, 2 Pt 2.73, 1 In 2.96
In 0.8531 0.3531 0.5000  6 Mn 2.72-2.81, 2 Pt 2.73, 1 In 2.96
Pt 0.0000 0.0000 0.5000  4 In 2.73
Pt 0.5000 0.5000 0.5000  4 In 2.73

---

Record 2
## MnInPt2 (PBE-GGA)

Data for a relaxed structure of MnInPt2.

Computed properties:
SG: R3m, No. 160
energy: -0.4424 Ry/atom
total moment: 3.94 μB per cell
Fermi-level density of states: 2.273 states/eV/f.u.
volume: 16.87 Å³/atom

Cell: 9.0270 9.0270 9.0270 Å, 18.90 18.90 18.90°
With the nearest neighbours (Å) after each atom.
Atoms (fractional coordinates):
Mn 0.0000 0.0000 0.0000  3 Pt 2.63, 3 In 2.88
In 0.7537 0.7537 0.7537  3 Pt 2.81, 3 Mn 2.88, 6 In 2.96
Pt 0.2582 0.2582 0.2582  3 Mn 2.63, 3 Pt 2.89
Pt 0.5041 0.5041 0.5041  3 In 2.81, 9 Pt 2.89-2.96

---

Record 3
## MnInPt2 (PBE-GGA)

Data for a relaxed structure of MnInPt2.

Computed properties:
SG: R-3m, No. 166
energy: -0.4533 Ry/atom
total moment: 4.09 μB per cell
Fermi-level density of states: 2.295 states/eV/f.u.
volume: 16.88 Å³/atom

Cell: 8.9157 8.9157 8.9157 Å, 19.28 19.28 19.28°
With the nearest neighbours (Å) after each atom.
Atoms (fractional coordinates):
Mn 0.0000 0.0000 0.0000  6 Pt 2.68, 6 Mn 2.99
In 0.5000 0.5000 0.5000  6 Pt 2.89, 6 In 2.99
Pt 0.2551 0.2551 0.2551  3 Mn 2.68, 3 In 2.89, 6 Pt 2.99
Pt 0.7449 0.7449 0.7449  3 Mn 2.68, 3 In 2.89, 6 Pt 2.99

---

Record 4
## MnInPt (PBE-GGA)

Data for a relaxed structure of MnInPt.

Computed properties:
SG: P3m1, No. 156
energy: -0.4485 Ry/atom
total moment: 4.01 μB per cell
Fermi-level density of states: 2.103 states/eV/f.u.
volume: 17.24 Å³/atom

Cell: 4.5204 4.5204 2.9228 Å, 90.00 90.00 120.00°
With the nearest neighbours (Å) after each atom.
Atoms (fractional coordinates):
Mn 0.0000 0.0000 0.0000  3 Pt 2.77, 3 In 2.87, 2 Mn 2.92
In 0.3333 0.6667 0.5928  3 Pt 2.74, 3 Mn 2.87, 2 In 2.92
Pt 0.6667 0.3333 0.3126  3 In 2.74, 3 Mn 2.77, 2 Pt 2.92